# AlCSe2Cl (PBE, relaxed)
data_AlCSe2Cl
_space_group_name_H-M_alt 'P 4/m m m'
_space_group_IT_number 123
_space_group_name_Hall '-P 4 2'
_cell_length_a 4.946
_cell_length_b 4.946
_cell_length_c 4.521
_cell_angle_alpha 90.00
_cell_angle_beta 90.00
_cell_angle_gamma 90.00
loop_
_atom_site_label
_atom_site_type_symbol
_atom_site_fract_x
_atom_site_fract_y
_atom_site_fract_z
_atom_site_occupancy
Al1 Al 0.000 0.000 0.000 1
C1 C 0.500 0.500 0.500 1
Se1 Se 0.000 0.500 0.000 1
Cl1 Cl 0.000 0.000 0.500 1
# - Density of states at the Fermi level: 2.624 states/eV/f.u.
# - Calculated total energy: -3.213 eV per atom

***

# Al2SiCCl (PBE, relaxed)
data_Al2SiCCl
_space_group_name_H-M_alt 'P 4/m m m'
_space_group_IT_number 123
_space_group_name_Hall '-P 4 2'
_cell_length_a 4.731
_cell_length_b 4.731
_cell_length_c 3.811
_cell_angle_alpha 90.00
_cell_angle_beta 90.00
_cell_angle_gamma 90.00
loop_
_atom_site_label
_atom_site_type_symbol
_atom_site_fract_x
_atom_site_fract_y
_atom_site_fract_z
_atom_site_occupancy
Al1 Al 0.000 0.500 0.000 1
Si1 Si 0.000 0.000 0.500 1
C1 C 0.000 0.000 0.000 1
Cl1 Cl 0.500 0.500 0.500 1
# - Density of states at the Fermi level: 3.389 states/eV/f.u.
# - Calculated total energy: -4.074 eV per atom

***

# AlTcCCl2 (PBE, relaxed)
data_AlTcCCl2
_space_group_name_H-M_alt 'P 4/m m m'
_space_group_IT_number 123
_space_group_name_Hall '-P 4 2'
_cell_length_a 5.553
_cell_length_b 5.553
_cell_length_c 3.792
_cell_angle_alpha 90.00
_cell_angle_beta 90.00
_cell_angle_gamma 90.00
loop_
_atom_site_label
_atom_site_type_symbol
_atom_site_fract_x
_atom_site_fract_y
_atom_site_fract_z
_atom_site_occupancy
Al1 Al 0.000 0.000 0.000 1
Tc1 Tc 0.500 0.500 0.000 1
C1 C 0.500 0.500 0.500 1
Cl1 Cl 0.000 0.500 0.500 1
# - Density of states at the Fermi level: 0.641 states/eV/f.u.
# - Calculated total energy: -4.344 eV per atom

***

# Al2CoC2 (PBE, relaxed)
data_Al2CoC2
_space_group_name_H-M_alt 'I 4/m m m'
_space_group_IT_number 139
_space_group_name_Hall '-I 4 2'
_cell_length_a 3.630
_cell_length_b 3.630
_cell_length_c 7.756
_cell_angle_alpha 90.00
_cell_angle_beta 90.00
_cell_angle_gamma 90.00
loop_
_atom_site_label
_atom_site_type_symbol
_atom_site_fract_x
_atom_site_fract_y
_atom_site_fract_z
_atom_site_occupancy
Al1 Al 0.000 0.500 0.250 1
Co1 Co 0.000 0.000 0.000 1
C1 C 0.000 0.000 0.402 1
# - Density of states at the Fermi level: 3.402 states/eV/f.u.
# - Calculated total energy: -5.850 eV per atom
# - Formation energy: 3.8 eV/f.u.